Below is crystalline SrZr2Fe at its relaxed geometry, with properties calculated at the PBE level.

abc: 3.257 3.257 9.232
angles: 90.00 90.00 90.00
Space group P4/mmm (No. 123)
Symmetry-distinct sites (fractional):
Sr 0.000 0.000 0.000 (multiplicity 1)
Zr 0.500 0.500 0.337 (multiplicity 2)
Fe 0.000 0.000 0.500 (multiplicity 1)

Summary:
excess energy over the best structure of this formula in the dataset = 0.019 eV per atom
calculated formation energy = 0.236 eV per atom
N(E_F) = 4.86 states/eV per cell
total DFT energy (no corrections) = -26.3 eV for the cell shown
theoretical density = 5.53 g/cm3

Below is crystalline SiAsSe at its relaxed geometry, with properties calculated at the PBE level.

abc: 3.395 5.608 13.885
angles: 90.00 90.00 90.00
Space group Fmm2 (No. 42)
Symmetry-distinct sites (fractional):
Si 0.000 0.000 0.000 (multiplicity 4)
As 0.000 0.000 0.630 (multiplicity 4)
Se 0.000 0.000 0.375 (multiplicity 4)

Summary:
excess energy over the best structure of this formula in the dataset = 0.376 eV per atom
N(E_F) = 5.31 states/eV per cell
total DFT energy (no corrections) = -49.2 eV for the cell shown
theoretical density = 4.57 g/cm3
uncorrected formation energy = 416 meV per atom

Below is crystalline ZrSbMo2 at its relaxed geometry, with properties calculated at the PBE level.

abc: 3.212 3.212 7.526
angles: 90.00 90.00 90.00
Space group P4mm (No. 99)
Symmetry-distinct sites (fractional):
Zr 0.000 0.000 0.000 (multiplicity 1)
Sb 0.500 0.500 0.683 (multiplicity 1)
Mo 0.000 0.000 0.441 (multiplicity 1)
Mo 0.500 0.500 0.251 (multiplicity 1)

Summary:
N(E_F) = 4.27 states/eV per cell
total DFT energy (no corrections) = -34.3 eV for the cell shown
theoretical density = 8.66 g/cm3
uncorrected formation energy = 16 meV per atom

Below is crystalline Nd2GaRu3 at its relaxed geometry, with properties calculated at the PBE level.

abc: 5.5497 5.5497 12.7893
angles: 90.00 90.00 120.00
Space group R-3m (No. 166, hexagonal axes)
Symmetry-distinct sites (fractional):
Nd 0.0000 0.0000 0.1254 (multiplicity 6)
Ga 0.0000 0.0000 0.5000 (multiplicity 3)
Ru 0.0000 0.5000 0.0000 (multiplicity 9)

Summary:
calculated formation energy = -0.311 eV per atom
N(E_F) = 19.52 states/eV per cell
total DFT energy (no corrections) = -126.8 eV for the cell shown
theoretical density = 9.66 g/cm3

Below is crystalline TeAs at its relaxed geometry, with properties calculated at the PBE level.

abc: 9.660 9.660 9.660
angles: 90.00 90.00 90.00
Space group I-43m (No. 217)
Symmetry-distinct sites (fractional):
Te 0.143 0.143 0.857 (multiplicity 8)
As 0.141 0.141 0.141 (multiplicity 8)

Summary:
N(E_F) = 26.05 states/eV per cell
total DFT energy (no corrections) = -56.4 eV for the cell shown
theoretical density = 2.98 g/cm3
uncorrected formation energy = 369 meV per atom

Below is crystalline GaSeBr at its relaxed geometry, with properties calculated at the PBE level.

abc: 10.166 10.166 3.648
angles: 90.00 90.00 90.00
Space group P4_2/m (No. 84)
Symmetry-distinct sites (fractional):
Ga 0.179 0.197 0.000 (multiplicity 4)
Se 0.052 0.735 0.000 (multiplicity 4)
Br 0.252 0.372 0.500 (multiplicity 4)

Summary:
total DFT energy (no corrections) = -39.6 eV for the cell shown
theoretical density = 4.03 g/cm3
uncorrected formation energy = -573 meV per atom

> What is the formula in the fifth record?

TeAs

> total DFT energy (no corrections) of number 1 (SrZr2Fe)?

-26.3 eV for the cell shown

> Which of these has the lowest theoretical density?

TeAs